# PBE LiPd15Pb4, optimized geometry
# * ΔE_f: -267 meV per atom
# * magnetization: 0.0 μB per cell
# * DOS at the Fermi energy: 14.6 states/eV/cell
# * E_tot: -4.999 eV/atom
data_LiPd15Pb4
_chemical_formula_sum 'Li1 Pd15 Pb4'
_cell_length_a 4.090
_cell_length_b 4.090
_cell_length_c 20.119
_cell_angle_alpha 90.00
_cell_angle_beta 90.00
_cell_angle_gamma 90.00
_space_group_name_H-M_alt 'P 4/m m m'
_space_group_IT_number 123
_space_group_name_Hall '-P 4 2'
loop_
_atom_site_label
_atom_site_type_symbol
_atom_site_fract_x
_atom_site_fract_y
_atom_site_fract_z
_atom_site_occupancy
Li1 Li 0.000 0.000 0.000 1
Pd1 Pd 0.000 0.500 0.091 1
Pd2 Pd 0.000 0.500 0.295 1
Pd3 Pd 0.000 0.500 0.500 1
Pd4 Pd 0.500 0.500 0.000 1
Pd5 Pd 0.500 0.500 0.193 1
Pd6 Pd 0.500 0.500 0.398 1
Pb1 Pb 0.000 0.000 0.191 1
Pb2 Pb 0.000 0.000 0.397 1

# PBE La2DyCo, optimized geometry
# * ΔE_f: 70 meV per atom
# * magnetization: 2.0 μB per cell
# * DOS at the Fermi energy: 5.7 states/eV/cell
# * E_tot: -5.320 eV/atom
data_La2DyCo
_chemical_formula_sum 'La2 Dy1 Co1'
_cell_length_a 3.570
_cell_length_b 3.570
_cell_length_c 8.926
_cell_angle_alpha 90.00
_cell_angle_beta 90.00
_cell_angle_gamma 90.00
_space_group_name_H-M_alt 'P 4/m m m'
_space_group_IT_number 123
_space_group_name_Hall '-P 4 2'
loop_
_atom_site_label
_atom_site_type_symbol
_atom_site_fract_x
_atom_site_fract_y
_atom_site_fract_z
_atom_site_occupancy
La1 La 0.000 0.000 0.192 1
Dy1 Dy 0.500 0.500 0.500 1
Co1 Co 0.500 0.500 0.000 1

# PBE Pu2MnBe3Si4, optimized geometry
# * energy relative to the elements, uncorrected: -0.323 eV/atom
# * magnetization: 13.1 μB per cell
# * DOS at the Fermi energy: 17.3 states/eV/cell
# * E_tot: -7.393 eV/atom
data_Pu2MnBe3Si4
_chemical_formula_sum 'Pu2 Mn1 Be3 Si4'
_cell_length_a 3.863
_cell_length_b 3.863
_cell_length_c 9.832
_cell_angle_alpha 90.00
_cell_angle_beta 90.00
_cell_angle_gamma 90.00
_space_group_name_H-M_alt 'P -4 m 2'
_space_group_IT_number 115
loop_
_space_group_symop_operation_xyz
'x,y,z'
'y,-x,-z'
'-x,-y,z'
'-y,x,-z'
'-x,y,z'
'-y,-x,-z'
'x,-y,z'
'y,x,-z'
loop_
_atom_site_label
_atom_site_type_symbol
_atom_site_fract_x
_atom_site_fract_y
_atom_site_fract_z
_atom_site_occupancy
Pu1 Pu 0.000 0.500 0.237 1
Mn1 Mn 0.000 0.000 0.500 1
Be1 Be 0.000 0.500 0.871 1
Be2 Be 0.500 0.500 0.500 1
Si1 Si 0.000 0.000 0.000 1
Si2 Si 0.000 0.500 0.640 1
Si3 Si 0.500 0.500 0.000 1

# PBE Rb2TmBS4, optimized geometry
# * energy relative to the elements, uncorrected: -1.137 eV/atom
# * magnetization: 0.0 μB per cell
# * DOS at the Fermi energy: 0.0 states/eV/cell
# * E_tot: -4.836 eV/atom
data_Rb2TmBS4
_chemical_formula_sum 'Rb16 Tm8 B8 S32'
_cell_length_a 5.748
_cell_length_b 14.075
_cell_length_c 24.708
_cell_angle_alpha 90.00
_cell_angle_beta 90.00
_cell_angle_gamma 90.00
_space_group_name_H-M_alt 'F d d d'
_space_group_IT_number 70
loop_
_space_group_symop_operation_xyz
'x,y,z'
'-x,-y,-z'
'-x+1/4,-y+1/4,z'
'x+1/4,y+1/4,-z'
'x,-y+1/4,-z+1/4'
'-x,y+1/4,z+1/4'
'-x+1/4,y,-z+1/4'
'x+1/4,-y,z+1/4'
'x,y+1/2,z+1/2'
'-x,-y+1/2,-z+1/2'
'-x+1/4,-y+3/4,z+1/2'
'x+1/4,y+3/4,-z+1/2'
'x,-y+3/4,-z+3/4'
'-x,y+3/4,z+3/4'
'-x+1/4,y+1/2,-z+3/4'
'x+1/4,-y+1/2,z+3/4'
'x+1/2,y,z+1/2'
'-x+1/2,-y,-z+1/2'
'-x+3/4,-y+1/4,z+1/2'
'x+3/4,y+1/4,-z+1/2'
'x+1/2,-y+1/4,-z+3/4'
'-x+1/2,y+1/4,z+3/4'
'-x+3/4,y,-z+3/4'
'x+3/4,-y,z+3/4'
'x+1/2,y+1/2,z'
'-x+1/2,-y+1/2,-z'
'-x+3/4,-y+3/4,z'
'x+3/4,y+3/4,-z'
'x+1/2,-y+3/4,-z+1/4'
'-x+1/2,y+3/4,z+1/4'
'-x+3/4,y+1/2,-z+1/4'
'x+3/4,-y+1/2,z+1/4'
loop_
_atom_site_label
_atom_site_type_symbol
_atom_site_fract_x
_atom_site_fract_y
_atom_site_fract_z
_atom_site_occupancy
Rb1 Rb 0.125 0.125 0.304 1
Tm1 Tm 0.125 0.125 0.125 1
B1 B 0.125 0.125 0.625 1
S1 S 0.056 0.289 0.827 1

# PBE Mg3Ga2Hg4, optimized geometry
# * ΔE_f: -92 meV per atom
# * magnetization: 0.0 μB per cell
# * DOS at the Fermi energy: 1.1 states/eV/cell
# * E_tot: -1.430 eV/atom
data_Mg3Ga2Hg4
_chemical_formula_sum 'Mg3 Ga2 Hg4'
_cell_length_a 3.407
_cell_length_b 7.873
_cell_length_c 8.494
_cell_angle_alpha 117.58
_cell_angle_beta 100.92
_cell_angle_gamma 90.02
_space_group_name_H-M_alt 'P -1'
_space_group_IT_number 2
loop_
_space_group_symop_operation_xyz
'x,y,z'
'-x,-y,-z'
loop_
_atom_site_label
_atom_site_type_symbol
_atom_site_fract_x
_atom_site_fract_y
_atom_site_fract_z
_atom_site_occupancy
Mg1 Mg 0.000 0.000 0.000 1
Mg2 Mg 0.147 0.647 0.294 1
Ga1 Ga 0.499 0.667 0.000 1
Hg1 Hg 0.325 0.014 0.663 1
Hg2 Hg 0.326 0.650 0.664 1

# PBE SnPCl2, optimized geometry
# * energy relative to the elements, uncorrected: 0.033 eV/atom
# * magnetization: 0.0 μB per cell
# * DOS at the Fermi energy: 8.9 states/eV/cell
# * E_tot: -3.244 eV/atom
data_SnPCl2
_chemical_formula_sum 'Sn4 P4 Cl8'
_cell_length_a 4.439
_cell_length_b 4.439
_cell_length_c 18.654
_cell_angle_alpha 90.00
_cell_angle_beta 90.00
_cell_angle_gamma 90.00
_space_group_name_H-M_alt 'I -4 2 d'
_space_group_IT_number 122
_space_group_name_Hall 'I -4 2bw'
loop_
_atom_site_label
_atom_site_type_symbol
_atom_site_fract_x
_atom_site_fract_y
_atom_site_fract_z
_atom_site_occupancy
Sn1 Sn 0.000 0.000 0.000 1
P1 P 0.000 0.000 0.500 1
Cl1 Cl 0.234 0.250 0.625 1

Question: Which formula does entry 5 have?
Answer: Mg3Ga2Hg4